Computed, not measured: a relaxed structure of LiPmHfPt at the PBE-GGA level of DFT.

Density of states at the Fermi level ... 4.4 states/eV/f.u.
DFT formation energy ... -0.376 eV/atom
Volume ... 330.4 Å³/cell
Magnetic moment ... 0.00 μB per formula unit
Total energy ... -96.6 eV per cell

a = 6.913 Å, b = 6.913 Å, c = 6.913 Å
α = 90.00°, β = 90.00°, γ = 90.00°
Space group F-43m (No. 216)
Inequivalent atoms, fractional coordinates:
Li (0.000, 0.000, 0.000)
Pm (0.250, 0.250, 0.750)
Hf (0.250, 0.250, 0.250)
Pt (0.000, 0.000, 0.500)